1.
# PmAlRe PBE relaxed
# **Formation enthalpy at 0 K**: 6 kJ/mol of atoms
# **D(E_F)**: 2.894 states/eV/f.u.
# **M_tot**: 0.00 Bohr magnetons per cell
# **Energy above the lowest structure with this stoichiometry**: 30.99 kJ per mole of atoms
data_PmAlRe
_symmetry_space_group_name_H-M 'R 3 2'
_symmetry_Int_Tables_number 155
_symmetry_space_group_name_Hall 'R 3 2"'
_cell_length_a 8.2209
_cell_length_b 8.2209
_cell_length_c 9.6289
_cell_angle_alpha 90.00
_cell_angle_beta 90.00
_cell_angle_gamma 120.00
loop_
_atom_site_label
_atom_site_type_symbol
_atom_site_fract_x
_atom_site_fract_y
_atom_site_fract_z
_atom_site_occupancy
Pm1 Pm 0.0000 0.2945 0.0000 1
Al1 Al 0.0000 0.6721 0.5000 1
Re1 Re 0.0000 0.0000 0.2389 1
Re2 Re 0.0000 0.0000 0.5000 1

---

2.
# MoC5 PBE relaxed
# **Formation enthalpy at 0 K**: 210 kJ/mol of atoms
# **D(E_F)**: 2.619 states/eV/f.u.
# **M_tot**: 0.00 Bohr magnetons per cell
# **Energy above the lowest structure with this stoichiometry**: 144.22 kJ per mole of atoms
data_MoC5
_symmetry_space_group_name_H-M 'P 4/m m m'
_symmetry_Int_Tables_number 123
_symmetry_space_group_name_Hall '-P 4 2'
_cell_length_a 2.475
_cell_length_b 2.475
_cell_length_c 8.359
_cell_angle_alpha 90.00
_cell_angle_beta 90.00
_cell_angle_gamma 90.00
loop_
_atom_site_label
_atom_site_type_symbol
_atom_site_fract_x
_atom_site_fract_y
_atom_site_fract_z
_atom_site_occupancy
Mo1 Mo 0.000 0.000 0.000 1
C1 C 0.000 0.000 0.268 1
C2 C 0.500 0.500 0.336 1
C3 C 0.500 0.500 0.500 1

---

3.
# LiHoScSn PBE relaxed
# **Formation enthalpy at 0 K**: -38 kJ/mol of atoms
# **D(E_F)**: 3.270 states/eV/f.u.
# **M_tot**: 0.00 Bohr magnetons per cell
data_LiHoScSn
_symmetry_space_group_name_H-M 'F -4 3 m'
_symmetry_Int_Tables_number 216
_symmetry_space_group_name_Hall 'F -4 2 3'
_cell_length_a 7.154
_cell_length_b 7.154
_cell_length_c 7.154
_cell_angle_alpha 90.00
_cell_angle_beta 90.00
_cell_angle_gamma 90.00
loop_
_atom_site_label
_atom_site_type_symbol
_atom_site_fract_x
_atom_site_fract_y
_atom_site_fract_z
_atom_site_occupancy
Li1 Li 0.000 0.000 0.000 1
Ho1 Ho 0.250 0.250 0.750 1
Sc1 Sc 0.250 0.250 0.250 1
Sn1 Sn 0.000 0.000 0.500 1

---

4.
# K2RbTl9 PBE relaxed
# **Formation enthalpy at 0 K**: -7 kJ/mol of atoms
# **D(E_F)**: 7.418 states/eV/f.u.
# **M_tot**: 0.00 Bohr magnetons per cell
data_K2RbTl9
_symmetry_space_group_name_H-M 'R -3 m'
_symmetry_Int_Tables_number 166
_symmetry_space_group_name_Hall '-R 3 2"'
_cell_length_a 6.7538
_cell_length_b 6.7538
_cell_length_c 32.3094
_cell_angle_alpha 90.00
_cell_angle_beta 90.00
_cell_angle_gamma 120.00
loop_
_atom_site_label
_atom_site_type_symbol
_atom_site_fract_x
_atom_site_fract_y
_atom_site_fract_z
_atom_site_occupancy
K1 K 0.0000 0.0000 0.1417 1
Rb1 Rb 0.0000 0.0000 0.0000 1
Tl1 Tl 0.0000 0.0000 0.3353 1
Tl2 Tl 0.0000 0.0000 0.5000 1
Tl3 Tl 0.0058 0.5029 0.9156 1

---

5.
# PuPa2Sb2Pd2 PBE relaxed
# **Raw formation energy**: -494 meV per atom
# **D(E_F)**: 12.840 states/eV/f.u.
# **M_tot**: 28.47 Bohr magnetons per cell
data_PuPa2Sb2Pd2
_symmetry_space_group_name_H-M 'R -3 m'
_symmetry_Int_Tables_number 166
_symmetry_space_group_name_Hall '-R 3 2"'
_cell_length_a 4.8020
_cell_length_b 4.8020
_cell_length_c 25.0487
_cell_angle_alpha 90.00
_cell_angle_beta 90.00
_cell_angle_gamma 120.00
loop_
_atom_site_label
_atom_site_type_symbol
_atom_site_fract_x
_atom_site_fract_y
_atom_site_fract_z
_atom_site_occupancy
Pu1 Pu 0.0000 0.0000 0.0000 1
Pa1 Pa 0.0000 0.0000 0.1391 1
Sb1 Sb 0.0000 0.0000 0.2681 1
Pd1 Pd 0.0000 0.0000 0.4416 1

---

6.
# PrTmPt PBE relaxed
# **Formation enthalpy at 0 K**: -64 kJ/mol of atoms
# **D(E_F)**: 3.600 states/eV/f.u.
# **M_tot**: 0.00 Bohr magnetons per cell
# **Energy above the lowest structure with this stoichiometry**: 22.60 kJ per mole of atoms
data_PrTmPt
_symmetry_space_group_name_H-M 'P -6 m 2'
_symmetry_Int_Tables_number 187
_symmetry_space_group_name_Hall 'P -6 2'
_cell_length_a 4.1906
_cell_length_b 4.1906
_cell_length_c 11.7638
_cell_angle_alpha 90.00
_cell_angle_beta 90.00
_cell_angle_gamma 120.00
loop_
_atom_site_label
_atom_site_type_symbol
_atom_site_fract_x
_atom_site_fract_y
_atom_site_fract_z
_atom_site_occupancy
Pr1 Pr 0.0000 0.0000 0.2347 1
Tm1 Tm 0.3333 0.6667 0.0000 1
Tm2 Tm 0.6667 0.3333 0.5000 1
Pt1 Pt 0.3333 0.6667 0.3739 1

---

7.
# ThGeRu PBE relaxed
# **Formation enthalpy at 0 K**: -57 kJ/mol of atoms
# **D(E_F)**: 3.293 states/eV/f.u.
# **M_tot**: 0.00 Bohr magnetons per cell
data_ThGeRu
_symmetry_space_group_name_H-M 'P -6 m 2'
_symmetry_Int_Tables_number 187
_symmetry_space_group_name_Hall 'P -6 2'
_cell_length_a 4.3809
_cell_length_b 4.3809
_cell_length_c 3.8471
_cell_angle_alpha 90.00
_cell_angle_beta 90.00
_cell_angle_gamma 120.00
loop_
_atom_site_label
_atom_site_type_symbol
_atom_site_fract_x
_atom_site_fract_y
_atom_site_fract_z
_atom_site_occupancy
Th1 Th 0.0000 0.0000 0.0000 1
Ge1 Ge 0.3333 0.6667 0.5000 1
Ru1 Ru 0.6667 0.3333 0.5000 1

---

8.
# ZnHOs PBE relaxed
# **D(E_F)**: 0.789 states/eV/f.u.
# **M_tot**: 0.00 Bohr magnetons per cell
# **Energy above the lowest structure with this stoichiometry**: 5.43 kJ per mole of atoms
data_ZnHOs
_symmetry_space_group_name_H-M 'C 1 m 1'
_symmetry_Int_Tables_number 8
_cell_length_a 8.991
_cell_length_b 2.849
_cell_length_c 6.791
_cell_angle_alpha 90.00
_cell_angle_beta 129.66
_cell_angle_gamma 90.00
loop_
_symmetry_equiv_pos_as_xyz
'x,y,z'
'x,-y,z'
'x+1/2,y+1/2,z'
'x+1/2,-y+1/2,z'
loop_
_atom_site_label
_atom_site_type_symbol
_atom_site_fract_x
_atom_site_fract_y
_atom_site_fract_z
_atom_site_occupancy
Zn1 Zn 0.000 0.000 0.000 1
Zn2 Zn 0.140 0.500 0.419 1
H1 H 0.287 0.000 0.668 1
H2 H 0.422 0.500 0.537 1
Os1 Os 0.186 0.000 0.805 1
Os2 Os 0.316 0.500 0.206 1